(1)
Compound: ZrTa2NbC4
Source: Alexandria
Functional: PBE
Structure: relaxed

The formation energy comes out at -0.630 eV per atom.

The space group is P2/m (No. 10) and the conventional cell measures 5.562, 3.211 and 5.574 Å, with angles of 90.00, 109.61 and 90.00 degrees. The inequivalent atoms are Zr at (0.000, 0.000, 0.000), Ta at (0.000, 0.500, 0.500), Ta at (0.500, 0.000, 0.500), Nb at (0.500, 0.500, 0.000), C at (0.251, 0.000, 0.741) and C at (0.258, 0.500, 0.261).

(2)
Compound: Tb2Nb2C3
Source: Alexandria
Functional: PBE
Structure: relaxed

The formation energy comes out at -0.420 eV per atom.

The space group is C2/m (No. 12) and the conventional cell measures 11.807, 3.425 and 5.832 Å, with angles of 90.00, 108.60 and 90.00 degrees. The inequivalent atoms are Tb at (0.111, 0.000, 0.336), Nb at (0.149, 0.500, 0.834), C at (0.000, 0.500, 0.500) and C at (0.246, 0.000, 0.769).

(3)
Compound: Nb3TcC
Source: Alexandria
Functional: PBE
Structure: relaxed

The value obtained for the energy above the most stable polymorph in this dataset is 0 meV/atom. The formation energy comes out at 0.005 eV per atom.

The space group is Pm-3m (No. 221) and the conventional cell measures 4.289, 4.289 and 4.289 Å, with angles of 90.00, 90.00 and 90.00 degrees. The inequivalent atoms are Nb at (0.000, 0.000, 0.500), Tc at (0.500, 0.500, 0.500) and C at (0.000, 0.000, 0.000).

(4)
Compound: NbTcC2
Source: Alexandria
Functional: PBE
Structure: relaxed

The value obtained for the energy above the most stable polymorph in this dataset is 226 meV/atom. The formation energy comes out at 0.568 eV per atom.

The space group is Fm-3m (No. 225) and the conventional cell measures 5.478, 5.478 and 5.478 Å, with angles of 90.00, 90.00 and 90.00 degrees. The inequivalent atoms are Nb at (0.000, 0.000, 0.000), Tc at (0.000, 0.000, 0.500) and C at (0.250, 0.250, 0.250).

| no. | E_tot (eV per cell) |
| --- | --- |
| 1 | -84.3 |
| 2 | -120.0 |
| 3 | -49.8 |
| 4 | -146.4 |